# 1
Entry from Alexandria: crystalline AcTc2PdO8 at its relaxed geometry (PBE).

Cell and atoms, written as extended XYZ:
```
12
Lattice="5.7834 -3.7197 0.0000 5.7834 3.7197 0.0000 -1.8764 0.0000 4.3070" Properties=species:S:1:pos:R:3 pbc="T T T"
Ac 0.0000 0.0000 0.0000
Tc 2.0846 0.0000 3.1945
Tc 7.6057 0.0000 1.1124
Pd 4.8452 0.0000 2.1535
O 0.3318 0.0000 2.6630
O 2.5385 1.5390 3.9372
O 2.8793 0.0000 1.5837
O 7.1518 1.5390 0.3697
O 2.5385 -1.5390 3.9372
O 6.8110 0.0000 2.7233
O 7.1518 -1.5390 0.3697
O 9.3585 0.0000 1.6440
```

Uncorrected formation energy (eV/atom): -1.58
Volume (A^3/atom): 15.4
Uncorrected energy (eV/atom): -7.3928
Density of states at the Fermi level (states/eV/f.u.): 2.4
SG: C2/m

=====

# 2
Entry from Alexandria: crystalline Ac2TcPdO6 at its relaxed geometry (PBE).

Cell and atoms, written as extended XYZ:
```
10
Lattice="5.8043 0.0000 0.0000 0.0000 5.8043 0.0000 0.0000 0.0000 4.2896" Properties=species:S:1:pos:R:3 pbc="T T T"
Ac 0.0000 2.9021 0.0000
Ac 2.9021 0.0000 0.0000
Tc 0.0000 0.0000 2.3485
Pd 2.9021 2.9021 2.3709
O 0.0000 0.0000 0.3910
O 1.3747 1.3747 2.7155
O 1.3747 4.4296 2.7155
O 2.9021 2.9021 0.2682
O 4.4296 1.3747 2.7155
O 4.4296 4.4296 2.7155
```

Uncorrected formation energy (eV/atom): -2.03
Volume (A^3/atom): 14.5
Uncorrected energy (eV/atom): -7.3798
Density of states at the Fermi level (states/eV/f.u.): 0.7
SG: P4mm

=====

# 3
Entry from Alexandria: crystalline Ac2TcPdO8 at its relaxed geometry (PBE).

Cell and atoms, written as extended XYZ:
```
12
Lattice="4.5240 0.0000 0.0000 0.5412 5.2982 0.0000 0.2779 0.6743 7.2853" Properties=species:S:1:pos:R:3 pbc="T T T"
Ac 0.9439 0.2524 1.8305
Ac 4.3992 5.7200 5.4548
Tc 2.6716 2.9862 3.6426
Pd 2.5326 2.6491 0.0000
O 1.3986 4.2310 4.1072
O 2.0283 5.0721 6.8446
O 1.7394 2.7757 1.8679
O 1.6932 1.5809 4.4094
O 3.6500 4.3916 2.8759
O 3.6037 3.1967 5.4174
O 3.3148 0.9004 0.4406
O 3.9445 1.7414 3.1781
```

Uncorrected formation energy (eV/atom): -1.95
Volume (A^3/atom): 14.6
Uncorrected energy (eV/atom): -7.2375
Density of states at the Fermi level (states/eV/f.u.): 4.8
SG: P-1